First-principles (GGA-PBE) data for a relaxed CrCuCl2 crystal, as listed in Alexandria.

```
data_CrCuCl2
_cell_length_a 3.8853
_cell_length_b 3.8853
_cell_length_c 21.5919
_cell_angle_alpha 90.00
_cell_angle_beta 90.00
_cell_angle_gamma 120.00
_symmetry_space_group_name_H-M 'R -3 m'
_symmetry_Int_Tables_number 166
_symmetry_space_group_name_Hall '-R 3 2"'
loop_
_atom_site_label
_atom_site_type_symbol
_atom_site_fract_x
_atom_site_fract_y
_atom_site_fract_z
Cr1 Cr 0.0000 0.0000 0.0000
Cu1 Cu 0.0000 0.0000 0.5000
Cl1 Cl 0.0000 0.0000 0.4000
```

The value obtained for the total moment is 1.240 μB/atom. The value obtained for the formation energy (no corrections) is -0.1738 eV/atom. As for the energy above the most stable polymorph in this dataset: 55.8 kJ/mol of formula units. For the total energy, the calculation gives -18.11 eV per formula unit.

***

First-principles (GGA-PBE) data for a relaxed Cr2CuCl crystal, as listed in Alexandria.

```
data_Cr2CuCl
_cell_length_a 3.104
_cell_length_b 3.104
_cell_length_c 6.411
_cell_angle_alpha 90.00
_cell_angle_beta 90.00
_cell_angle_gamma 90.00
_symmetry_space_group_name_H-M 'P 4 m m'
_symmetry_Int_Tables_number 99
loop_
_symmetry_equiv_pos_as_xyz
'x,y,z'
'-y,x,z'
'-x,-y,z'
'y,-x,z'
'-x,y,z'
'y,x,z'
'x,-y,z'
'-y,-x,z'
loop_
_atom_site_label
_atom_site_type_symbol
_atom_site_fract_x
_atom_site_fract_y
_atom_site_fract_z
Cr1 Cr 0.000 0.000 0.000
Cr2 Cr 0.500 0.500 0.196
Cu1 Cu 0.000 0.000 0.419
Cl1 Cl 0.500 0.500 0.720
```

The value obtained for the total moment is 0.050 μB/atom. The value obtained for the formation energy (no corrections) is 0.2763 eV/atom. As for the energy above the most stable polymorph in this dataset: 38.0 kJ/mol of formula units. For the total energy, the calculation gives -24.08 eV per formula unit.

***

First-principles (GGA-PBE) data for a relaxed Cr2CuCl crystal, as listed in Alexandria.

```
data_Cr2CuCl
_cell_length_a 3.065
_cell_length_b 3.605
_cell_length_c 12.965
_cell_angle_alpha 90.00
_cell_angle_beta 90.00
_cell_angle_gamma 90.00
_symmetry_space_group_name_H-M 'I m m 2'
_symmetry_Int_Tables_number 44
loop_
_symmetry_equiv_pos_as_xyz
'x,y,z'
'-x,-y,z'
'-x,y,z'
'x,-y,z'
'x+1/2,y+1/2,z+1/2'
'-x+1/2,-y+1/2,z+1/2'
'-x+1/2,y+1/2,z+1/2'
'x+1/2,-y+1/2,z+1/2'
loop_
_atom_site_label
_atom_site_type_symbol
_atom_site_fract_x
_atom_site_fract_y
_atom_site_fract_z
Cr1 Cr 0.000 0.000 0.000
Cr2 Cr 0.000 0.500 0.283
Cu1 Cu 0.000 0.500 0.863
Cl1 Cl 0.000 0.000 0.628
```

The value obtained for the total moment is 2.110 μB/atom. The value obtained for the formation energy (no corrections) is 0.4978 eV/atom. As for the energy above the most stable polymorph in this dataset: 123.5 kJ/mol of formula units. For the total energy, the calculation gives -23.20 eV per formula unit.

***

First-principles (GGA-PBE) data for a relaxed CrCuCl2 crystal, as listed in Alexandria.

```
data_CrCuCl2
_cell_length_a 4.620
_cell_length_b 3.730
_cell_length_c 5.346
_cell_angle_alpha 90.00
_cell_angle_beta 92.49
_cell_angle_gamma 90.00
_symmetry_space_group_name_H-M 'P 1 m 1'
_symmetry_Int_Tables_number 6
loop_
_symmetry_equiv_pos_as_xyz
'x,y,z'
'x,-y,z'
loop_
_atom_site_label
_atom_site_type_symbol
_atom_site_fract_x
_atom_site_fract_y
_atom_site_fract_z
Cr1 Cr 0.000 0.000 0.000
Cu1 Cu 0.212 0.500 0.672
Cl1 Cl 0.485 0.000 0.817
Cl2 Cl 0.945 0.500 0.312
```

The value obtained for the total moment is 1.217 μB/atom. The value obtained for the formation energy (no corrections) is -0.2429 eV/atom. As for the energy above the most stable polymorph in this dataset: 29.1 kJ/mol of formula units. For the total energy, the calculation gives -18.38 eV per formula unit.

***

First-principles (GGA-PBE) data for a relaxed Cr2CuCl crystal, as listed in Alexandria.

```
data_Cr2CuCl
_cell_length_a 6.310
_cell_length_b 6.310
_cell_length_c 6.310
_cell_angle_alpha 90.00
_cell_angle_beta 90.00
_cell_angle_gamma 90.00
_symmetry_space_group_name_H-M 'F -4 3 m'
_symmetry_Int_Tables_number 216
_symmetry_space_group_name_Hall 'F -4 2 3'
loop_
_atom_site_label
_atom_site_type_symbol
_atom_site_fract_x
_atom_site_fract_y
_atom_site_fract_z
Cr1 Cr 0.000 0.000 0.000
Cr2 Cr 0.250 0.250 0.250
Cu1 Cu 0.000 0.000 0.500
Cl1 Cl 0.250 0.250 0.750
```

The value obtained for the total moment is 0.089 μB/atom. The value obtained for the formation energy (no corrections) is 0.7124 eV/atom. As for the energy above the most stable polymorph in this dataset: 206.3 kJ/mol of formula units. For the total energy, the calculation gives -22.34 eV per formula unit.

***

First-principles (GGA-PBE) data for a relaxed CrCuCl2 crystal, as listed in Alexandria.

```
data_CrCuCl2
_cell_length_a 3.863
_cell_length_b 3.633
_cell_length_c 5.975
_cell_angle_alpha 90.00
_cell_angle_beta 93.46
_cell_angle_gamma 90.00
_symmetry_space_group_name_H-M 'P 1 2/m 1'
_symmetry_Int_Tables_number 10
loop_
_symmetry_equiv_pos_as_xyz
'x,y,z'
'-x,-y,-z'
'-x,y,-z'
'x,-y,z'
loop_
_atom_site_label
_atom_site_type_symbol
_atom_site_fract_x
_atom_site_fract_y
_atom_site_fract_z
Cr1 Cr 0.000 0.000 0.000
Cu1 Cu 0.500 0.000 0.500
Cl1 Cl 0.269 0.500 0.255
```

The value obtained for the total moment is 1.228 μB/atom. The value obtained for the formation energy (no corrections) is -0.0717 eV/atom. As for the energy above the most stable polymorph in this dataset: 95.2 kJ/mol of formula units. For the total energy, the calculation gives -17.70 eV per formula unit.

***

First-principles (GGA-PBE) data for a relaxed CrCuCl2 crystal, as listed in Alexandria.

```
data_CrCuCl2
_cell_length_a 3.4352
_cell_length_b 3.4352
_cell_length_c 23.5227
_cell_angle_alpha 90.00
_cell_angle_beta 90.00
_cell_angle_gamma 120.00
_symmetry_space_group_name_H-M 'R 3 m'
_symmetry_Int_Tables_number 160
_symmetry_space_group_name_Hall 'R 3 -2"'
loop_
_atom_site_label
_atom_site_type_symbol
_atom_site_fract_x
_atom_site_fract_y
_atom_site_fract_z
Cr1 Cr 0.0000 0.0000 0.0000
Cu1 Cu 0.0000 0.0000 0.2632
Cl1 Cl 0.0000 0.0000 0.5398
Cl2 Cl 0.0000 0.0000 0.7240
```

The value obtained for the total moment is 0.755 μB/atom. The value obtained for the formation energy (no corrections) is -0.3184 eV/atom. As for the energy above the most stable polymorph in this dataset: 0.0 kJ/mol of formula units. For the total energy, the calculation gives -18.69 eV per formula unit.

***

First-principles (GGA-PBE) data for a relaxed Cr2CuCl crystal, as listed in Alexandria.

```
data_Cr2CuCl
_cell_length_a 3.202
_cell_length_b 4.852
_cell_length_c 7.723
_cell_angle_alpha 90.00
_cell_angle_beta 90.00
_cell_angle_gamma 90.00
_symmetry_space_group_name_H-M 'C m m 2'
_symmetry_Int_Tables_number 35
loop_
_symmetry_equiv_pos_as_xyz
'x,y,z'
'-x,-y,z'
'-x,y,z'
'x,-y,z'
'x+1/2,y+1/2,z'
'-x+1/2,-y+1/2,z'
'-x+1/2,y+1/2,z'
'x+1/2,-y+1/2,z'
loop_
_atom_site_label
_atom_site_type_symbol
_atom_site_fract_x
_atom_site_fract_y
_atom_site_fract_z
Cr1 Cr 0.000 0.000 0.000
Cr2 Cr 0.000 0.500 0.213
Cu1 Cu 0.000 0.000 0.470
Cl1 Cl 0.000 0.500 0.750
```

The value obtained for the total moment is 0.082 μB/atom. The value obtained for the formation energy (no corrections) is 0.3268 eV/atom. As for the energy above the most stable polymorph in this dataset: 57.5 kJ/mol of formula units. For the total energy, the calculation gives -23.88 eV per formula unit.

***

First-principles (GGA-PBE) data for a relaxed Cr2CuCl crystal, as listed in Alexandria.

```
data_Cr2CuCl
_cell_length_a 2.811
_cell_length_b 3.675
_cell_length_c 6.150
_cell_angle_alpha 90.00
_cell_angle_beta 90.00
_cell_angle_gamma 90.00
_symmetry_space_group_name_H-M 'P m m m'
_symmetry_Int_Tables_number 47
loop_
_symmetry_equiv_pos_as_xyz
'x,y,z'
'-x,-y,-z'
'-x,-y,z'
'x,y,-z'
'x,-y,-z'
'-x,y,z'
'-x,y,-z'
'x,-y,z'
loop_
_atom_site_label
_atom_site_type_symbol
_atom_site_fract_x
_atom_site_fract_y
_atom_site_fract_z
Cr1 Cr 0.000 0.000 0.168
Cu1 Cu 0.500 0.500 0.000
Cl1 Cl 0.500 0.000 0.500
```

The value obtained for the total moment is 0.000 μB/atom. The value obtained for the formation energy (no corrections) is 0.4934 eV/atom. As for the energy above the most stable polymorph in this dataset: 121.8 kJ/mol of formula units. For the total energy, the calculation gives -23.22 eV per formula unit.

***

First-principles (GGA-PBE) data for a relaxed Cr2CuCl crystal, as listed in Alexandria.

```
data_Cr2CuCl
_cell_length_a 3.639
_cell_length_b 3.639
_cell_length_c 10.754
_cell_angle_alpha 90.00
_cell_angle_beta 90.00
_cell_angle_gamma 90.00
_symmetry_space_group_name_H-M 'I -4 m 2'
_symmetry_Int_Tables_number 119
_symmetry_space_group_name_Hall 'I -4 -2'
loop_
_atom_site_label
_atom_site_type_symbol
_atom_site_fract_x
_atom_site_fract_y
_atom_site_fract_z
Cr1 Cr 0.000 0.000 0.000
Cr2 Cr 0.000 0.500 0.250
Cu1 Cu 0.000 0.500 0.750
Cl1 Cl 0.000 0.000 0.500
```

The value obtained for the total moment is 2.217 μB/atom. The value obtained for the formation energy (no corrections) is 0.6774 eV/atom. As for the energy above the most stable polymorph in this dataset: 192.8 kJ/mol of formula units. For the total energy, the calculation gives -22.48 eV per formula unit.

***

First-principles (GGA-PBE) data for a relaxed CrCuCl2 crystal, as listed in Alexandria.

```
data_CrCuCl2
_cell_length_a 5.714
_cell_length_b 5.714
_cell_length_c 10.845
_cell_angle_alpha 90.00
_cell_angle_beta 90.00
_cell_angle_gamma 90.00
_symmetry_space_group_name_H-M 'I -4 2 d'
_symmetry_Int_Tables_number 122
_symmetry_space_group_name_Hall 'I -4 2bw'
loop_
_atom_site_label
_atom_site_type_symbol
_atom_site_fract_x
_atom_site_fract_y
_atom_site_fract_z
Cr1 Cr 0.000 0.000 0.000
Cu1 Cu 0.000 0.000 0.500
Cl1 Cl 0.224 0.250 0.625
```

The value obtained for the total moment is 1.249 μB/atom. The value obtained for the formation energy (no corrections) is -0.1982 eV/atom. As for the energy above the most stable polymorph in this dataset: 46.4 kJ/mol of formula units. For the total energy, the calculation gives -18.21 eV per formula unit.

***

First-principles (GGA-PBE) data for a relaxed Cr2CuCl crystal, as listed in Alexandria.

```
data_Cr2CuCl
_cell_length_a 2.787
_cell_length_b 4.239
_cell_length_c 8.721
_cell_angle_alpha 90.00
_cell_angle_beta 90.00
_cell_angle_gamma 90.00
_symmetry_space_group_name_H-M 'I m m m'
_symmetry_Int_Tables_number 71
_symmetry_space_group_name_Hall '-I 2 2'
loop_
_atom_site_label
_atom_site_type_symbol
_atom_site_fract_x
_atom_site_fract_y
_atom_site_fract_z
Cr1 Cr 0.000 0.000 0.226
Cu1 Cu 0.000 0.500 0.000
Cl1 Cl 0.000 0.500 0.500
```

The value obtained for the total moment is 0.000 μB/atom. The value obtained for the formation energy (no corrections) is 0.7845 eV/atom. As for the energy above the most stable polymorph in this dataset: 234.1 kJ/mol of formula units. For the total energy, the calculation gives -22.05 eV per formula unit.